## IrRuO (PBE-GGA)

Data for IrRuO after structural relaxation.

abc: 3.695 3.695 3.459
angles: 91.88 91.88 57.74
Fractional positions:
1 Ir 0.000 0.000 0.000
2 Ru 0.304 0.304 0.600
3 O 0.739 0.739 0.357

Values from the calculation:
- total magnetic moment (μB per cell) = 0.0
- mass density (g cm⁻³) = 12.87
- distance to the lowest polymorph of the same formula (eV/atom) = 0.597
- raw formation energy (eV/atom) = 0.34
- space group = Cm (8)